Material: GeBi2S
Method: DFT, GGA-PBE
State: relaxed

Output
Symmetry: Fm-3m
Energy (Ry per atom): -0.290
Formation energy from raw total energies (eV per atom): 0.186
Total magnetic moment (μB per formula unit): 0.000
Crystal system: cubic
Density of states at the Fermi level (states/eV per atom): 0.4384
ΔE to the lowest computed polymorph (meV per atom): 0

a b c (Å): 5.1488 5.1488 5.1488
angles (deg): 60.00 60.00 60.00
Atoms (fractional coordinates):
Ge  0.5000  0.5000  0.5000
Bi  0.7500  0.7500  0.7500
Bi  0.2500  0.2500  0.2500
S  0.0000  0.0000  0.0000



Material: CaErAgF6
Method: DFT, GGA-PBE
State: relaxed

Output
Symmetry: P4_2nm
Energy (Ry per atom): -0.415
Formation energy from raw total energies (eV per atom): -3.349
Total magnetic moment (μB per formula unit): 0.063
Crystal system: tetragonal
Density of states at the Fermi level (states/eV per atom): 0.0000

a b c (Å): 5.3360 5.3360 10.8174
angles (deg): 90.00 90.00 90.00
Atoms (fractional coordinates):
Ag  0.0000  0.0000  0.9990
Ag  0.5000  0.5000  0.4990
F  0.8220  0.1780  0.4928
F  0.2865  0.2865  0.3173
F  0.7983  0.2017  0.1901
F  0.7865  0.2135  0.8173
F  0.2017  0.7983  0.1901
F  0.3220  0.3220  0.9928
F  0.7135  0.7135  0.3173
F  0.2983  0.2983  0.6901
F  0.2135  0.7865  0.8173
F  0.7017  0.7017  0.6901
F  0.1780  0.8220  0.4928
F  0.6780  0.6780  0.9928
Er  0.0000  0.0000  0.3326
Er  0.5000  0.5000  0.8326
Ca  0.5000  0.5000  0.1679
Ca  0.0000  0.0000  0.6679



Material: NaSc2Fe2
Method: DFT, GGA-PBE
State: relaxed

Output
ΔE_f (eV per atom): 0.219
Symmetry: P4/mbm
Energy (Ry per atom): -0.438
Total magnetic moment (μB per formula unit): 3.120
Crystal system: tetragonal
Density of states at the Fermi level (states/eV per atom): 0.9997

a b c (Å): 7.4882 7.4882 3.3870
angles (deg): 90.00 90.00 90.00
Last column: magnetic moment on the atom in μB.
Atoms (fractional coordinates):
Na  0.5000  0.5000  0.0000  -0.01
Na  0.0000  0.0000  0.0000  -0.01
Fe  0.1095  0.3905  0.0000  2.12
Fe  0.6095  0.1095  0.0000  2.12
Fe  0.8905  0.6095  0.0000  2.11
Fe  0.3905  0.8905  0.0000  2.12
Sc  0.8312  0.3312  0.5000  -0.35
Sc  0.6688  0.8312  0.5000  -0.35
Sc  0.3312  0.1688  0.5000  -0.35
Sc  0.1688  0.6688  0.5000  -0.35



Material: HfNpRu
Method: DFT, GGA-PBE
State: relaxed

Output
ΔE_f (eV per atom): -0.015
Symmetry: C2/m
Energy (Ry per atom): -0.789
Total magnetic moment (μB per formula unit): 0.001
Crystal system: monoclinic
Density of states at the Fermi level (states/eV per atom): 1.4259

a b c (Å): 3.2294 5.1632 7.3642
angles (deg): 90.05 90.00 108.22
Atoms (fractional coordinates):
Np  0.3348  0.6696  0.9501
Np  0.6652  0.3304  0.0499
Hf  0.0758  0.1515  0.6932
Hf  0.9242  0.8485  0.3068
Ru  0.8074  0.6147  0.6505
Ru  0.1926  0.3853  0.3495



Calculated theoretical density, 8.99; 4.63; 3.93; 14.71 g/cm³ (same order as the records).